No. 1
! LiPbS2Cl PBE optimized geometry; values from VASP
&SYSTEM
  ibrav = 0, nat = 5, ntyp = 4
/
ATOMIC_SPECIES
Pb 207.20 Pb.upf
S 32.06 S.upf
Li 6.94 Li.upf
Cl 35.45 Cl.upf
CELL_PARAMETERS angstrom
-1.879 -3.013 -3.746
4.782 -0.760 -1.787
0.532 -4.462 3.323
ATOMIC_POSITIONS crystal
Pb 0.000 0.000 0.000
S 0.000 0.500 0.000
S 0.500 0.000 0.000
Li 0.500 0.500 0.500
Cl 0.000 0.000 0.500
! Energy relative to the elements, uncorrected: -0.22 eV/atom
! Space-group type: P4/mmm
! Magnetic moment: 0.000 μB/f.u.
! Crystal system: tetragonal


No. 2
! Ho2Tm2Pb2N PBE optimized geometry; values from VASP
&SYSTEM
  ibrav = 0, nat = 7, ntyp = 4
/
ATOMIC_SPECIES
Ho 164.93 Ho.upf
Tm 168.93 Tm.upf
Pb 207.20 Pb.upf
N 14.01 N.upf
CELL_PARAMETERS angstrom
-2.573 -3.860 -0.631
1.916 -1.902 3.825
-5.488 6.026 2.881
ATOMIC_POSITIONS crystal
Ho 0.156 0.156 0.313
Ho 0.844 0.844 0.687
Tm 0.000 0.500 0.000
Tm 0.500 0.000 0.000
Pb 0.356 0.356 0.713
Pb 0.644 0.644 0.287
N 0.000 0.000 0.000
! Energy relative to the elements, uncorrected: -0.87 eV/atom
! Space-group type: I4/mmm
! Magnetic moment: 0.000 μB/f.u.
! Crystal system: tetragonal


No. 3
! Cr2GeTeS PBE optimized geometry; values from VASP
&SYSTEM
  ibrav = 0, nat = 5, ntyp = 4
/
ATOMIC_SPECIES
Cr 52.00 Cr.upf
Ge 72.64 Ge.upf
Te 127.60 Te.upf
S 32.06 S.upf
CELL_PARAMETERS angstrom
5.111 0.000 0.000
0.000 5.241 0.000
0.000 0.000 5.111
ATOMIC_POSITIONS crystal
Cr 0.000 0.000 0.500
Cr 0.500 0.000 0.000
Ge 0.500 0.500 0.500
Te 0.000 0.000 0.000
S 0.000 0.500 0.000
! Energy relative to the elements, uncorrected: 1.06 eV/atom
! Space-group type: P4/mmm
! Magnetic moment: 8.158 μB/f.u.
! Crystal system: tetragonal


No. 4
! YFeH5 PBE optimized geometry; values from VASP
&SYSTEM
  ibrav = 0, nat = 7, ntyp = 3
/
ATOMIC_SPECIES
Y 88.91 Y.upf
Fe 55.84 Fe.upf
H 1.01 H.upf
CELL_PARAMETERS angstrom
0.163 1.529 3.391
1.672 -2.972 3.303
4.444 0.744 1.494
ATOMIC_POSITIONS crystal
Y 0.956 0.000 0.000
Fe 0.491 0.500 0.500
H 0.798 0.288 0.288
H 0.989 0.500 0.500
H 0.374 0.712 0.712
H 0.461 0.191 0.809
H 0.461 0.809 0.191
! Space-group type: Imm2
! Magnetic moment: 1.003 μB/f.u.
! Calculated total energy: -32.81 eV for the cell shown
! Crystal system: orthorhombic